Here is an optimized crystal structure of Tl2AuBr4 from Alexandria. Energies are from PBE-GGA.

Results
ΔE_f (raw): -493 meV per atom
Electronic total energy: -36.31 eV/cell

a = 9.012 Å, b = 9.012 Å, c = 9.012 Å
α = 108.41°, β = 108.41°, γ = 111.63°
Element x y z (fractional)
Tl 0.073 0.125 0.448
Tl 0.375 0.927 0.052
Tl 0.677 0.625 0.552
Tl 0.875 0.323 0.948
Au 0.250 0.750 0.500
Au 0.500 0.500 0.000
Br 0.087 0.768 0.216
Br 0.128 0.913 0.681
Br 0.198 0.482 0.819
Br 0.232 0.448 0.319
Br 0.518 0.337 0.716
Br 0.552 0.872 0.784
Br 0.622 0.802 0.284
Br 0.663 0.378 0.181

Here is an optimized crystal structure of TlTc5 from Alexandria. Energies are from PBE-GGA.

Results
Energy above the most stable polymorph in this dataset: 279.7 meV per atom
Electronic total energy: -50.70 eV/cell
Formation enthalpy at 0 K: 0.58 eV per atom

a = 5.030 Å, b = 5.030 Å, c = 4.703 Å
α = 90.00°, β = 90.00°, γ = 120.00°
Element x y z (fractional)
Tl 0.000 0.000 0.000
Tc 0.000 0.500 0.500
Tc 0.333 0.667 0.000
Tc 0.500 0.000 0.500
Tc 0.500 0.500 0.500
Tc 0.667 0.333 0.000

Here is an optimized crystal structure of ReGe3Te from Alexandria. Energies are from PBE-GGA.

Results
ΔE_f (raw): 313 meV per atom
Energy above the most stable polymorph in this dataset: 0.0 meV per atom
Electronic total energy: -27.88 eV/cell

a = 4.908 Å, b = 4.908 Å, c = 4.908 Å
α = 90.00°, β = 90.00°, γ = 90.00°
Element x y z (fractional)
Re 0.000 0.000 0.000
Ge 0.000 0.000 0.500
Ge 0.000 0.500 0.000
Ge 0.500 0.000 0.000
Te 0.500 0.500 0.500

Here is an optimized crystal structure of BaTa3Os from Alexandria. Energies are from PBE-GGA.

Results
Energy above the most stable polymorph in this dataset: 2468.8 meV per atom
Electronic total energy: -31.31 eV/cell
Formation enthalpy at 0 K: 3.48 eV per atom

a = 4.934 Å, b = 4.934 Å, c = 4.934 Å
α = 90.00°, β = 90.00°, γ = 90.00°
Element x y z (fractional)
Ba 0.000 0.000 0.000
Ta 0.000 0.000 0.500
Ta 0.000 0.500 0.000
Ta 0.500 0.000 0.000
Os 0.500 0.500 0.500

Here is an optimized crystal structure of PrY2Ho from Alexandria. Energies are from PBE-GGA.

Results
Energy above the most stable polymorph in this dataset: 5.4 meV per atom
Electronic total energy: -22.20 eV/cell
Formation enthalpy at 0 K: 0.02 eV per atom

a = 11.832 Å, b = 11.832 Å, c = 11.832 Å
α = 17.57°, β = 17.57°, γ = 17.57°
Element x y z (fractional)
Pr 0.000 0.000 0.000
Y 0.581 0.581 0.581
Y 0.751 0.751 0.751
Ho 0.166 0.166 0.166

Here is an optimized crystal structure of TbNd2Er5 from Alexandria. Energies are from PBE-GGA.

Results
Energy above the most stable polymorph in this dataset: 148.3 meV per atom
Electronic total energy: -71.24 eV/cell
Formation enthalpy at 0 K: 0.17 eV per atom

a = 9.467 Å, b = 9.467 Å, c = 6.525 Å
α = 97.68°, β = 97.68°, γ = 62.69°
Element x y z (fractional)
Tb 0.000 0.500 0.000
Tb 0.500 0.000 0.500
Nd 0.166 0.676 0.881
Nd 0.324 0.834 0.619
Nd 0.676 0.166 0.381
Nd 0.834 0.324 0.119
Er 0.011 0.190 0.647
Er 0.190 0.011 0.147
Er 0.214 0.389 0.474
Er 0.389 0.214 0.974
Er 0.441 0.559 0.250
Er 0.559 0.441 0.750
Er 0.611 0.786 0.026
Er 0.786 0.611 0.526
Er 0.810 0.989 0.853
Er 0.989 0.810 0.353